Entry 1:
Ba3Na | GGA-PBE | relaxed

Lattice parameters (Å, degrees): 7.805 7.805 7.805 134.65 134.65 66.08
Element x y z (fractional)
Ba: 0.750 0.250 0.500
Ba: 0.500 0.500 0.000
Ba: 0.250 0.750 0.500
Na: 0.000 0.000 0.000

Results
ΔE to the lowest computed polymorph: 42 meV per atom
space-group type: I4/mmm
energy of formation from the pure elements: 25 kJ/mol of formula units

---

Entry 2:
Ba3Na8 | GGA-PBE | relaxed

Lattice parameters (Å, degrees): 4.360 7.503 16.497 105.30 90.00 106.89
Element x y z (fractional)
Ba: 0.907 0.815 0.373
Ba: 0.093 0.185 0.627
Ba: 0.000 0.000 0.000
Na: 0.345 0.691 0.564
Na: 0.547 0.094 0.814
Na: 0.751 0.502 0.098
Na: 0.655 0.309 0.436
Na: 0.453 0.906 0.186
Na: 0.249 0.498 0.902
Na: 0.162 0.323 0.253
Na: 0.838 0.677 0.747

Results
space-group type: C2/m
energy of formation from the pure elements: 35 kJ/mol of formula units

---

Entry 3:
Ba3Na | GGA-PBE | relaxed

Lattice parameters (Å, degrees): 4.298 4.097 13.490 90.00 90.00 90.00
Element x y z (fractional)
Na: 0.000 0.000 0.970
Ba: 0.500 0.500 0.183
Ba: 0.500 0.000 0.718
Ba: 0.000 0.500 0.461

Results
ΔE to the lowest computed polymorph: 97 meV per atom
space-group type: Pmm2
energy of formation from the pure elements: 46 kJ/mol of formula units

---

| no. | total magnetization (μB/f.u.) | calculated density (g/cm3) |
| --- | --- | --- |
| 1 | 0.0 | 3.05 |
| 2 | 0.0 | 1.99 |
| 3 | 0.0 | 3.04 |